[1]
Here is a geometry-optimized Al2Cd3 structure from the Open Quantum Materials Database. Energies are from PBE.

Computed properties:
* energy: -1.8014 eV per atom
* distance to the lowest polymorph of the same formula: 0.075 eV/atom

a b c (Å): 6.4624 6.4624 18.7384
angles (deg): 90.00 90.00 120.00
Closest atoms and distances in Å follow each position.
Space group R-3c (No. 167, hexagonal axes)
Asymmetric unit:
1 Al 0.0000 0.0000 0.1827 (multiplicity 12)  1 Al 2.52, 3 Cd 2.71
2 Cd 0.0000 0.4050 0.2500 (multiplicity 18)  4 Al 2.71-2.91

[2]
Here is a geometry-optimized Al2Cd structure from the Open Quantum Materials Database. Energies are from PBE.

Computed properties:
* energy: -2.6189 eV per atom

a b c (Å): 7.7549 7.7549 7.7549
angles (deg): 90.00 90.00 90.00
Closest atoms and distances in Å follow each position.
Space group Fd-3m (No. 227, origin choice 2)
Asymmetric unit:
1 Al 0.0000 0.0000 0.0000 (multiplicity 16)  6 Al 2.74
2 Cd 0.1250 0.1250 0.6250 (multiplicity 8)  12 Al 3.21, 4 Cd 3.36

[3]
Here is a geometry-optimized Al2CdCl8 structure from the Open Quantum Materials Database. Energies are from PBE.

Computed properties:
* energy: -3.5047 eV per atom

a b c (Å): 7.0888 6.6151 12.9542
angles (deg): 90.00 92.74 90.00
Closest atoms and distances in Å follow each position.
Space group Pc (No. 7)
Asymmetric unit:
1 Al 0.0000 0.0659 0.0000 (multiplicity 2)  4 Cl 2.10-2.20
2 Al 0.5867 0.4335 0.1986 (multiplicity 2)  4 Cl 2.09-2.20
3 Cd 0.4393 0.2532 0.9585 (multiplicity 2)  6 Cl 2.63-2.74
4 Cl 0.0926 0.3785 0.0174 (multiplicity 2)  1 Al 2.18
5 Cl 0.2229 0.0665 0.4091 (multiplicity 2)  1 Al 2.20
6 Cl 0.3571 0.4159 0.7755 (multiplicity 2)  1 Al 2.19
7 Cl 0.4900 0.1287 0.1591 (multiplicity 2)  1 Al 2.18
8 Cl 0.5961 0.4254 0.5453 (multiplicity 2)  1 Al 2.20
9 Cl 0.7404 0.0559 0.9007 (multiplicity 2)  1 Al 2.20
10 Cl 0.8444 0.4400 0.2840 (multiplicity 2)  1 Al 2.09
11 Cl 0.9749 0.0847 0.6413 (multiplicity 2)  1 Al 2.10

[4]
Here is a geometry-optimized AlCdCo2 structure from the Open Quantum Materials Database. Energies are from PBE.

Computed properties:
* energy: -4.5397 eV per atom

a b c (Å): 6.0350 6.0350 6.0350
angles (deg): 90.00 90.00 90.00
Closest atoms and distances in Å follow each position.
Space group F-43m (No. 216)
Asymmetric unit:
1 Al 0.0000 0.0000 0.0000 (multiplicity 4)  4 Cd 2.61, 4 Co 2.61
2 Cd 0.2500 0.2500 0.2500 (multiplicity 4)  4 Co 2.61, 4 Al 2.61
3 Co 0.0000 0.0000 0.5000 (multiplicity 4)  4 Co 2.61, 4 Cd 2.61
4 Co 0.2500 0.2500 0.7500 (multiplicity 4)  4 Co 2.61, 4 Al 2.61

The lowest energy belongs to which entry? AlCdCo2

energy of number 3 (Al2CdCl8)? -3.5047 eV per atom